Entry 1:
Material: Ce3AlTl4Se8
Method: DFT, GGA-PBE
State: relaxed

a = 8.4924 Å, b = 9.1129 Å, c = 8.4940 Å
α = 117.78°, β = 119.99°, γ = 90.00°
With the nearest neighbours (Å) after each atom.
Positions (direct):
Al (0.0000, 0.5000, 0.0000)  6 Se 2.71-2.72
Tl (0.5000, 0.0000, 0.5000)  6 Se 3.30-3.33
Se (0.2627, 0.2880, 0.5253)  3 Ce 2.94
Ce (0.5000, 0.5000, 0.5000)  6 Se 2.94-2.96
Se (0.2189, 0.6949, 0.9760)  1 Al 2.71, 2 Ce 2.96
Se (0.7811, 0.3051, 0.0240)  1 Al 2.71, 2 Ce 2.96
Tl (0.0000, 0.0000, 0.5000)  6 Se 3.30-3.33
Tl (0.5000, 0.0000, 0.0000)  6 Se 3.53
Se (0.2190, 0.6950, 0.4380)  1 Al 2.72, 2 Ce 2.96
Se (0.7810, 0.3050, 0.5620)  1 Al 2.72, 2 Ce 2.96
Ce (0.0000, 0.5000, 0.5000)  6 Se 2.94-2.96
Ce (0.5000, 0.5000, 0.0000)  6 Se 2.94-2.96
Se (0.7572, 0.6949, 0.9760)  1 Al 2.71, 2 Ce 2.96
Se (0.7373, 0.7120, 0.4747)  3 Ce 2.94
Tl (0.0000, 0.0000, 0.0000)  6 Se 3.30-3.33
Se (0.2428, 0.3051, 0.0240)  1 Al 2.71, 2 Ce 2.96

- Formation energy without anion corrections: -1.1135 eV per atom
- Symmetry: No. 166

Entry 2:
Material: PrEr2Ga
Method: DFT, GGA-PBE
State: relaxed

a = 3.5295 Å, b = 3.5295 Å, c = 8.9575 Å
α = 90.00°, β = 90.00°, γ = 90.00°
With the nearest neighbours (Å) after each atom.
Positions (direct):
Ga (0.5000, 0.5000, 0.0000)  8 Er 3.09
Er (0.0000, 0.0000, 0.7970)  4 Ga 3.09
Pr (0.5000, 0.5000, 0.5000)  4 Pr 3.53, 8 Er 3.65
Er (0.0000, 0.0000, 0.2030)  4 Ga 3.09

- Polymorph energy (0 for the lowest one): 0.0000 eV per atom
- Energy relative to the elements: -27.93 kJ per mole of atoms
- Symmetry: No. 123

Please write out number 1 again, unchanged.
Material: Ce3AlTl4Se8
Method: DFT, GGA-PBE
State: relaxed

a = 8.4924 Å, b = 9.1129 Å, c = 8.4940 Å
α = 117.78°, β = 119.99°, γ = 90.00°
With the nearest neighbours (Å) after each atom.
Positions (direct):
Al (0.0000, 0.5000, 0.0000)  6 Se 2.71-2.72
Tl (0.5000, 0.0000, 0.5000)  6 Se 3.30-3.33
Se (0.2627, 0.2880, 0.5253)  3 Ce 2.94
Ce (0.5000, 0.5000, 0.5000)  6 Se 2.94-2.96
Se (0.2189, 0.6949, 0.9760)  1 Al 2.71, 2 Ce 2.96
Se (0.7811, 0.3051, 0.0240)  1 Al 2.71, 2 Ce 2.96
Tl (0.0000, 0.0000, 0.5000)  6 Se 3.30-3.33
Tl (0.5000, 0.0000, 0.0000)  6 Se 3.53
Se (0.2190, 0.6950, 0.4380)  1 Al 2.72, 2 Ce 2.96
Se (0.7810, 0.3050, 0.5620)  1 Al 2.72, 2 Ce 2.96
Ce (0.0000, 0.5000, 0.5000)  6 Se 2.94-2.96
Ce (0.5000, 0.5000, 0.0000)  6 Se 2.94-2.96
Se (0.7572, 0.6949, 0.9760)  1 Al 2.71, 2 Ce 2.96
Se (0.7373, 0.7120, 0.4747)  3 Ce 2.94
Tl (0.0000, 0.0000, 0.0000)  6 Se 3.30-3.33
Se (0.2428, 0.3051, 0.0240)  1 Al 2.71, 2 Ce 2.96

- Formation energy without anion corrections: -1.1135 eV per atom
- Symmetry: No. 166